Compound: CrRhAu2
Source: Alexandria
Functional: PBE
Structure: relaxed

abc: 4.5214 4.5214 4.5214
angles: 60.00 60.00 60.00
Site moments in Bohr magnetons follow the coordinates.
Sites, in units of the cell vectors:
Au 0.0000 0.0000 0.0000  -0.01
Au 0.2500 0.2500 0.2500  0.08
Rh 0.7500 0.7500 0.7500  -0.05
Cr 0.5000 0.5000 0.5000  3.25

## Properties
Its calculated total energy is -5.699 eV/atom. Its space-group type is No. 216. The energy of formation comes out at 0.73 eV per formula unit.

=====

Compound: Na9LiHg2
Source: Alexandria
Functional: PBE
Structure: relaxed

abc: 4.9481 4.9481 14.7068
angles: 90.00 90.00 90.00
Sites, in units of the cell vectors:
Na 0.0000 0.5000 0.5000
Na 0.5000 0.5000 0.0000
Na 0.5000 0.0000 0.8247
Na 0.5000 0.5000 0.3384
Na 0.0000 0.5000 0.1753
Na 0.0000 0.5000 0.8247
Na 0.5000 0.0000 0.1753
Na 0.5000 0.5000 0.6616
Na 0.5000 0.0000 0.5000
Hg 0.0000 0.0000 0.3361
Hg 0.0000 0.0000 0.6639
Li 0.0000 0.0000 0.0000

## Properties
Its calculated total energy is -1.276 eV/atom. Its space-group type is No. 123. The energy of formation comes out at -0.92 eV per formula unit.

=====

Compound: ErTa4Ru5
Source: Alexandria
Functional: PBE
Structure: relaxed

abc: 3.1343 3.1343 17.0162
angles: 90.00 90.00 90.00
Sites, in units of the cell vectors:
Ru 0.5000 0.5000 0.6911
Ru 0.5000 0.5000 0.5000
Ru 0.5000 0.5000 0.1218
Ru 0.5000 0.5000 0.8782
Ru 0.5000 0.5000 0.3089
Ta 0.0000 0.0000 0.5971
Ta 0.0000 0.0000 0.4029
Ta 0.0000 0.0000 0.7926
Ta 0.0000 0.0000 0.2074
Er 0.0000 0.0000 0.0000

## Properties
Its calculated total energy is -10.220 eV/atom. Its space-group type is No. 123. The energy of formation comes out at -3.85 eV per formula unit.

=====

Compound: Ce2HoGe2Pd2
Source: Alexandria
Functional: PBE
Structure: relaxed

abc: 4.3849 4.3849 9.1635
angles: 76.16 76.16 60.00
Site moments in Bohr magnetons follow the coordinates.
Sites, in units of the cell vectors:
Ge 0.2622 0.2622 0.2133  -0.01
Ge 0.7378 0.7378 0.7867  -0.01
Ce 0.8619 0.8619 0.4144  0.57
Ce 0.1381 0.1381 0.5856  0.57
Pd 0.5974 0.5974 0.2079  -0.01
Pd 0.4026 0.4026 0.7921  -0.01
Ho 0.0000 0.0000 0.0000  0.01

## Properties
Its calculated total energy is -5.926 eV/atom. Its space-group type is No. 166. The energy of formation comes out at -5.42 eV per formula unit.

=====

Compound: Ac2InHg8
Source: Alexandria
Functional: PBE
Structure: relaxed

abc: 5.0004 7.4721 9.4130
angles: 113.05 105.40 90.00
Sites, in units of the cell vectors:
Hg 0.3747 0.1604 0.7493
Hg 0.6212 0.4122 0.2424
Hg 0.9972 0.2977 0.9943
Hg 0.0028 0.7023 0.0057
Hg 0.3788 0.5878 0.7576
Hg 0.1458 0.1505 0.2916
Hg 0.6253 0.8396 0.2507
Hg 0.8542 0.8495 0.7084
Ac 0.2145 0.7120 0.4290
Ac 0.7855 0.2880 0.5710
In 0.5000 0.0000 0.0000

## Properties
Its calculated total energy is -1.498 eV/atom. Its space-group type is No. 12. The energy of formation comes out at -3.11 eV per formula unit.

=====

Compound: Sr2CdGa3Pd4
Source: Alexandria
Functional: PBE
Structure: relaxed

abc: 4.4661 4.4661 10.6126
angles: 90.00 90.00 90.00
Sites, in units of the cell vectors:
Ga 0.0000 0.0000 0.5000
Ga 0.5000 0.0000 0.8826
Ga 0.0000 0.5000 0.1174
Pd 0.0000 0.5000 0.3543
Pd 0.5000 0.0000 0.6457
Pd 0.5000 0.5000 0.0000
Pd 0.0000 0.0000 0.0000
Sr 0.0000 0.5000 0.7579
Sr 0.5000 0.0000 0.2421
Cd 0.5000 0.5000 0.5000

## Properties
Its calculated total energy is -4.085 eV/atom. Its space-group type is No. 115. The energy of formation comes out at -6.71 eV per formula unit.

=====

Compound: Pr3NdIr2
Source: Alexandria
Functional: PBE
Structure: relaxed

abc: 5.4104 11.3236 7.4324
angles: 128.59 90.00 103.82
Sites, in units of the cell vectors:
Pr 0.6653 0.3307 0.3414
Pr 0.9624 0.9248 0.6932
Pr 0.6040 0.2079 0.6986
Pr 0.3347 0.6693 0.6586
Pr 0.0376 0.0752 0.3068
Pr 0.3960 0.7921 0.3014
Ir 0.7821 0.5642 0.2915
Ir 0.4915 0.9830 0.1652
Ir 0.5085 0.0170 0.8348
Ir 0.2179 0.4358 0.7085
Nd 0.1963 0.3926 0.0433
Nd 0.8037 0.6074 0.9567

## Properties
Its calculated total energy is -6.558 eV/atom. Its space-group type is No. 12. The energy of formation comes out at -2.52 eV per formula unit.

=====

Compound: NaPa2PO8
Source: Alexandria
Functional: PBE
Structure: relaxed

abc: 5.0252 5.0252 7.4429
angles: 90.00 90.00 120.00
Sites, in units of the cell vectors:
P 0.0000 0.0000 0.0000
Pa 0.6667 0.3333 0.1521
Pa 0.3333 0.6667 0.8479
O 0.6667 0.3333 0.4041
O 0.3333 0.6667 0.5959
O 0.3223 0.1611 0.8699
O 0.1611 0.8389 0.1301
O 0.8389 0.6777 0.8699
O 0.1611 0.3223 0.1301
O 0.6777 0.8389 0.1301
O 0.8389 0.1611 0.8699
Na 0.0000 0.0000 0.5000

## Properties
Its calculated total energy is -8.148 eV/atom. The formation energy from raw total energies is -2699.3 meV/atom. Its space-group type is No. 164.

=====

Compound: Ta2Ni
Source: Alexandria
Functional: PBE
Structure: relaxed

abc: 4.8561 5.0368 5.0368
angles: 76.55 61.20 61.20
Sites, in units of the cell vectors:
Ni 0.7500 0.0003 0.9997
Ni 0.2500 0.9997 0.0003
Ta 0.6583 0.5000 0.1826
Ta 0.3417 0.5000 0.8174
Ta 0.1583 0.1826 0.5000
Ta 0.8417 0.8174 0.5000

## Properties
Its calculated total energy is -10.066 eV/atom. Its space-group type is No. 140. The energy of formation comes out at -0.71 eV per formula unit.

=====

Compound: MnSbAu
Source: Alexandria
Functional: PBE
Structure: relaxed

abc: 4.4765 4.4765 4.4765
angles: 60.00 60.00 60.00
Site moments in Bohr magnetons follow the coordinates.
Sites, in units of the cell vectors:
Au 0.5000 0.5000 0.5000  0.05
Sb 0.0000 0.0000 0.0000  -0.12
Mn 0.2500 0.2500 0.2500  3.48

## Properties
Its calculated total energy is -5.513 eV/atom. The formation energy from raw total energies is 9.9 meV/atom. Its space-group type is No. 216.

=====

Compound: TbPm2Cu2Ge2
Source: Alexandria
Functional: PBE
Structure: relaxed

abc: 4.2533 4.2533 10.5312
angles: 78.35 78.35 60.00
Sites, in units of the cell vectors:
Ge 0.2720 0.2720 0.1840
Ge 0.7280 0.7280 0.8160
Cu 0.6090 0.6090 0.1731
Cu 0.3910 0.3910 0.8269
Pm 0.8788 0.8788 0.3636
Pm 0.1212 0.1212 0.6364
Tb 0.0000 0.0000 0.0000

## Properties
Its calculated total energy is -5.014 eV/atom. Its space-group type is No. 166. The energy of formation comes out at -3.54 eV per formula unit.

=====

Compound: HoNpP2
Source: Alexandria
Functional: PBE
Structure: relaxed

abc: 5.6075 5.6075 6.8774
angles: 114.06 114.06 90.00
Site moments in Bohr magnetons follow the coordinates.
Sites, in units of the cell vectors:
P 0.2468 0.2468 0.4936  -0.08
P 0.7532 0.7532 0.5064  -0.08
P 0.5032 0.0032 0.0064  -0.08
P 0.9968 0.4968 0.9936  -0.08
Np 0.7500 0.2500 0.5000  3.57
Np 0.0000 0.0000 0.0000  3.57
Ho 0.2500 0.7500 0.5000  0.04
Ho 0.5000 0.5000 0.0000  0.04

## Properties
Its calculated total energy is -8.325 eV/atom. Its space-group type is No. 141. The energy of formation comes out at -4.96 eV per formula unit.

=====

Compound: OsPbSe2
Source: Alexandria
Functional: PBE
Structure: relaxed

abc: 4.7376 4.0636 5.1610
angles: 82.40 90.00 90.00
Sites, in units of the cell vectors:
Pb 0.5000 0.7342 0.7216
Se 0.0000 0.9843 0.0989
Se 0.5000 0.3100 0.3123
Os 0.0000 0.4715 0.3671

## Properties
Its calculated total energy is -5.155 eV/atom. The formation energy from raw total energies is 322.0 meV/atom. Its space-group type is No. 6.

=====

Compound: Li2TaAu
Source: Alexandria
Functional: PBE
Structure: relaxed

abc: 4.9308 4.9308 4.9308
angles: 139.97 126.19 69.13
Sites, in units of the cell vectors:
Li 0.9895 0.9895 0.0000
Li 0.7698 0.2698 0.5000
Au 0.2352 0.7352 0.5000
Ta 0.5055 0.5055 0.0000

## Properties
Its calculated total energy is -4.548 eV/atom. Its space-group type is No. 44. The energy of formation comes out at 0.77 eV per formula unit.

=====

Compound: Tb6YSc8
Source: Alexandria
Functional: PBE
Structure: relaxed

abc: 9.2063 9.2063 7.8424
angles: 54.06 54.06 60.00
Sites, in units of the cell vectors:
Sc 0.7694 0.7694 0.6919
Sc 0.1288 0.9524 0.2994
Sc 0.6194 0.1288 0.2994
Sc 0.9524 0.6194 0.2994
Sc 0.3806 0.8712 0.7006
Sc 0.8712 0.0476 0.7006
Sc 0.2306 0.2306 0.3081
Sc 0.0476 0.3806 0.7006
Tb 0.3786 0.5707 0.2214
Tb 0.1707 0.6214 0.7786
Tb 0.8293 0.3786 0.2214
Tb 0.6214 0.4293 0.7786
Tb 0.5707 0.8293 0.2214
Tb 0.4293 0.1707 0.7786
Y 0.0000 0.0000 0.0000

## Properties
Its calculated total energy is -5.465 eV/atom. Its space-group type is No. 148. The energy of formation comes out at 2.92 eV per formula unit.

=====

Compound: GdYEr
Source: Alexandria
Functional: PBE
Structure: relaxed

abc: 4.1209 4.1209 6.3978
angles: 108.79 108.79 90.00
Site moments in Bohr magnetons follow the coordinates.
Sites, in units of the cell vectors:
Gd 0.3308 0.3308 0.6616  7.37
Er 0.6672 0.6672 0.3343  0.15
Y 0.0020 0.0020 0.0041  0.11

## Properties
Its calculated total energy is -8.270 eV/atom. Its space-group type is No. 107. The energy of formation comes out at 0.30 eV per formula unit.

=====

Compound: MgBI2N
Source: Alexandria
Functional: PBE
Structure: relaxed

abc: 5.3653 3.9520 5.3653
angles: 90.00 90.00 90.00
Sites, in units of the cell vectors:
N 0.0000 0.0000 0.0000
Mg 0.0000 0.5000 0.0000
I 0.5000 0.0000 0.0000
I 0.0000 0.0000 0.5000
B 0.5000 0.5000 0.5000

## Properties
Its calculated total energy is -2.874 eV/atom. The formation energy from raw total energies is 1065.4 meV/atom. Its space-group type is No. 123.

=====

Compound: Na2YTlSe
Source: Alexandria
Functional: PBE
Structure: relaxed

abc: 5.2954 6.1171 5.2954
angles: 90.00 90.00 90.00
Sites, in units of the cell vectors:
Se 0.0000 0.5000 0.0000
Na 0.5000 0.0000 0.0000
Na 0.0000 0.0000 0.5000
Y 0.5000 0.5000 0.5000
Tl 0.0000 0.0000 0.0000

## Properties
Its calculated total energy is -2.694 eV/atom. The formation energy from raw total energies is 296.1 meV/atom. Its space-group type is No. 123.

=====

Compound: K2Ge2Se5
Source: Alexandria
Functional: PBE
Structure: relaxed

abc: 12.0453 10.0754 10.2777
angles: 91.10 90.00 90.00
Sites, in units of the cell vectors:
Se 0.9143 0.7029 0.0265
Se 0.2500 0.9612 0.0422
Se 0.0712 0.6736 0.3453
Se 0.2500 0.3390 0.6400
Se 0.0857 0.2971 0.9735
Se 0.5857 0.7029 0.0265
Se 0.2500 0.6902 0.7807
Se 0.4288 0.6736 0.3453
Se 0.9130 0.9958 0.2944
Se 0.9288 0.3264 0.6547
Se 0.4130 0.0042 0.7056
Se 0.7500 0.0388 0.9578
Se 0.5870 0.9958 0.2944
Se 0.7500 0.3098 0.2193
Se 0.7500 0.7463 0.7160
Se 0.2500 0.2537 0.2840
Se 0.0870 0.0042 0.7056
Se 0.5712 0.3264 0.6547
Se 0.7500 0.6610 0.3600
Se 0.4143 0.2971 0.9735
K 0.7500 0.0564 0.5864
K 0.2500 0.5859 0.0906
K 0.2500 0.9436 0.4136
K 0.4964 0.6491 0.6609
K 0.9964 0.3509 0.3391
K 0.7500 0.4141 0.9094
K 0.0036 0.6491 0.6609
K 0.5036 0.3509 0.3391
Ge 0.9103 0.7585 0.2558
Ge 0.5897 0.7585 0.2558
Ge 0.4103 0.2415 0.7442
Ge 0.7500 0.8024 0.9351
Ge 0.7500 0.0828 0.1871
Ge 0.2500 0.1976 0.0649
Ge 0.0897 0.2415 0.7442
Ge 0.2500 0.9172 0.8129

## Properties
Its calculated total energy is -3.910 eV/atom. The formation energy from raw total energies is -704.5 meV/atom. Its space-group type is No. 11.

=====

Compound: Sm2ScTaO7
Source: Alexandria
Functional: PBE
Structure: relaxed

abc: 7.4647 7.4647 7.4647
angles: 120.51 119.43 90.05
Sites, in units of the cell vectors:
O 0.3426 0.6762 0.2689
O 0.9074 0.6762 0.8337
O 0.3162 0.0662 0.2500
O 0.0926 0.3238 0.1663
O 0.3783 0.6283 0.7500
O 0.6217 0.3717 0.2500
O 0.6838 0.9338 0.7500
O 0.9038 0.6538 0.2500
O 0.6574 0.3238 0.7311
O 0.6574 0.9263 0.3337
O 0.0926 0.9263 0.7689
O 0.3426 0.0737 0.6663
O 0.9074 0.0737 0.2311
O 0.0962 0.3462 0.7500
Sc 0.0000 0.0000 0.5000
Sc 0.0000 0.5000 0.0000
Sm 0.5000 0.0000 0.0000
Sm 0.0000 0.5000 0.5000
Sm 0.5000 0.5000 0.5000
Sm 0.5000 0.5000 0.0000
Ta 0.5000 0.0000 0.5000
Ta 0.0000 0.0000 0.0000

## Properties
Its calculated total energy is -9.016 eV/atom. The formation energy from raw total energies is -3349.3 meV/atom. Its space-group type is No. 74.

=====

Compound: NaPdAuSCl
Source: Alexandria
Functional: PBE
Structure: relaxed

abc: 4.1920 4.2029 8.3045
angles: 75.62 75.92 60.18
Sites, in units of the cell vectors:
S 0.7863 0.4382 0.7345
Au 0.8755 0.5352 0.4486
Na 0.6091 0.2718 0.2358
Cl 0.9722 0.6390 0.1402
Pd 0.4665 0.1185 0.6914

## Properties
Its calculated total energy is -3.656 eV/atom. The formation energy from raw total energies is -503.6 meV/atom. Its space-group type is No. 1.

=====

Compound: RhAu
Source: Alexandria
Functional: PBE
Structure: relaxed

abc: 9.7438 4.6844 5.6879
angles: 90.00 90.00 90.00
Site moments in Bohr magnetons follow the coordinates.
Sites, in units of the cell vectors:
Au 0.6676 0.2500 0.4926  0.06
Au 0.1676 0.2500 0.0074  0.06
Au 0.8324 0.7500 0.9926  0.06
Au 0.0852 0.7500 0.7648  0.04
Au 0.9148 0.2500 0.2352  0.04
Au 0.3324 0.7500 0.5074  0.06
Au 0.5852 0.7500 0.7352  0.04
Au 0.4148 0.2500 0.2648  0.04
Rh 0.3421 0.7500 0.0065  0.63
Rh 0.1579 0.2500 0.5065  0.63
Rh 0.4141 0.2500 0.7706  0.66
Rh 0.0859 0.7500 0.2706  0.66
Rh 0.6579 0.2500 0.9935  0.63
Rh 0.5859 0.7500 0.2294  0.66
Rh 0.8421 0.7500 0.4935  0.63
Rh 0.9141 0.2500 0.7294  0.66

## Properties
Its calculated total energy is -5.089 eV/atom. Its space-group type is No. 62. The energy of formation comes out at 0.45 eV per formula unit.

=====

no.,magnetization (Bohr magnetons per cell),mass density (g/cm³),DOS(E_F) (states/eV/f.u.)
1,3.5,13.9,4.08
2,0.0,2.8,4.80
3,0.0,13.9,7.78
4,1.3,9.1,8.44
5,0.0,11.6,5.01
6,0.0,7.2,5.02
7,0.0,9.3,5.50
8,0.0,6.6,0.00
9,0.0,14.8,3.36
10,3.5,9.8,0.55
11,0.0,7.5,4.98
12,7.5,8.7,8.16
13,0.0,9.4,2.47
14,0.0,10.6,2.28
15,0.0,5.5,25.17
16,8.2,7.1,5.47
17,0.0,4.4,1.79
18,0.0,4.0,4.67
19,0.0,3.3,0.00
20,0.0,7.2,0.00
21,0.0,5.4,2.19
22,5.6,15.3,3.00